Ce2Ag3Hg2 | PBE-GGA | optimized geometry

Summary:
E_tot (eV/atom): -3.106
M_tot (μB/f.u.): 2.8

The structure in CIF format:
```
data_Ce2Ag3Hg2
_chemical_formula_sum 'Ce4 Ag6 Hg4'
_space_group_name_H-M_alt 'C m m m'
_space_group_IT_number 65
_space_group_name_Hall '-C 2 2'
_cell_length_a 4.851
_cell_length_b 21.101
_cell_length_c 3.163
_cell_angle_alpha 90.00
_cell_angle_beta 90.00
_cell_angle_gamma 90.00
loop_
_atom_site_label
_atom_site_type_symbol
_atom_site_fract_x
_atom_site_fract_y
_atom_site_fract_z
_atom_site_occupancy
Ce1 Ce 0.000 0.146 0.000 1
Ag1 Ag 0.000 0.000 0.000 1
Ag2 Ag 0.000 0.435 0.500 1
Hg1 Hg 0.000 0.290 0.500 1
```